Record 1
First-principles (GGA-PBE) data for a geometry-optimized MgPtW2 structure, as listed in Alexandria via LeMat-Bulk.

- E_form: 0.194 eV per atom
- Symmetry: P4/mmm

Cell lengths 2.7412, 2.7412, 8.7488 Å; angles 90.00, 90.00, 90.00 degrees
Closest atoms and distances in Å follow each position.
Fractional positions:
Mg  0.0000  0.0000  0.0000  4 Mg 2.74, 8 W 3.00
Pt  0.0000  0.0000  0.5000  4 Pt 2.74, 8 W 2.85
W  0.5000  0.5000  0.2617  4 W 2.74, 4 Pt 2.85, 4 Mg 3.00
W  0.5000  0.5000  0.7383  4 W 2.74, 4 Pt 2.85, 4 Mg 3.00



Record 2
First-principles (GGA-PBE) data for a geometry-optimized RbH3Rh structure, as listed in Alexandria via LeMat-Bulk.

- Distance to the lowest polymorph of the same formula: 17.7 kJ/mol of atoms
- Symmetry: P-1

Cell lengths 3.6089, 4.1866, 8.8273 Å; angles 89.09, 81.12, 89.91 degrees
Closest atoms and distances in Å follow each position.
Fractional positions:
Rb  0.1347  0.2457  0.1703  8 H 2.71-2.83
Rb  0.8653  0.7543  0.8297  8 H 2.71-2.83
H  0.0588  0.7569  0.3790  2 Rh 1.78-1.84
H  0.3787  0.2635  0.7967  1 Rh 1.69
H  0.4549  0.8273  0.5995  2 Rh 1.81
H  0.5451  0.1727  0.4005  2 Rh 1.81
H  0.6213  0.7365  0.2033  1 Rh 1.69
H  0.9412  0.2431  0.6210  2 Rh 1.78-1.84
Rh  0.4558  0.2589  0.6027  5 H 1.69-1.84
Rh  0.5442  0.7411  0.3973  5 H 1.69-1.84



Record 3
First-principles (GGA-PBE) data for a geometry-optimized TaCd2Si structure, as listed in Alexandria via LeMat-Bulk.

- Formation energy from raw total energies: 0.159 eV/atom
- Symmetry: Pm

Cell lengths 2.8555, 4.2753, 6.6026 Å; angles 90.00, 102.44, 90.00 degrees
Closest atoms and distances in Å follow each position.
Fractional positions:
Ta  0.0000  0.0000  0.0000  4 Si 2.63, 2 Ta 2.86
Cd  0.2872  0.0000  0.5728  6 Cd 2.86-3.03, 2 Si 3.07, 2 Ta 3.10
Cd  0.6641  0.5000  0.3248  1 Si 2.64, 2 Cd 2.86
Si  0.4575  0.5000  0.9154  4 Ta 2.63, 1 Cd 2.64, 2 Si 2.86



Record 4
First-principles (GGA-PBE) data for a geometry-optimized Hf2Co2Os structure, as listed in Alexandria via LeMat-Bulk.

- E_form: -0.310 eV per atom
- Symmetry: P4/mbm

Cell lengths 6.5951, 6.5951, 3.5323 Å; angles 90.00, 90.00, 90.00 degrees
Closest atoms and distances in Å follow each position.
Fractional positions:
Hf  0.1839  0.3161  0.0000  6 Co 2.55-2.70
Hf  0.3161  0.8161  0.0000  6 Co 2.55-2.70
Hf  0.6839  0.1839  0.0000  6 Co 2.55-2.70
Hf  0.8161  0.6839  0.0000  6 Co 2.55-2.70
Co  0.1191  0.6191  0.5000  1 Co 2.22
Co  0.3809  0.1191  0.5000  1 Co 2.22
Co  0.6191  0.8809  0.5000  1 Co 2.22
Co  0.8809  0.3809  0.5000  1 Co 2.22
Os  0.0000  0.0000  0.5000  4 Co 2.63
Os  0.5000  0.5000  0.5000  4 Co 2.63



Record 5
First-principles (GGA-PBE) data for a geometry-optimized KAg2P structure, as listed in Alexandria via LeMat-Bulk.

- E_form: 0.168 eV per atom
- Symmetry: Pmm2

Cell lengths 3.0368, 4.0276, 7.5541 Å; angles 90.00, 90.00, 90.00 degrees
Closest atoms and distances in Å follow each position.
Fractional positions:
K  0.0000  0.0000  0.0000  2 K 3.04, 1 Ag 3.33
Ag  0.0000  0.0000  0.4403  4 P 2.72, 6 Ag 2.99-3.04
Ag  0.5000  0.5000  0.6531  1 P 2.63
P  0.5000  0.5000  0.3056  5 Ag 2.63-2.72



Record 6
First-principles (GGA-PBE) data for a geometry-optimized SnBiSb3 structure, as listed in Alexandria via LeMat-Bulk.

- Distance to the lowest polymorph of the same formula: 13.7 kJ/mol of atoms
- Formation energy from raw total energies: 0.878 eV/atom
- Symmetry: Pm-3m

Cell lengths 5.7977, 5.7977, 5.7977 Å; angles 90.00, 90.00, 90.00 degrees
Closest atoms and distances in Å follow each position.
Fractional positions:
Sn  0.0000  0.0000  0.0000  12 Sb 4.10
Bi  0.5000  0.5000  0.5000  6 Sb 2.90
Sb  0.0000  0.5000  0.5000  2 Bi 2.90
Sb  0.5000  0.0000  0.5000  2 Bi 2.90
Sb  0.5000  0.5000  0.0000  2 Bi 2.90



Record 7
First-principles (GGA-PBE) data for a geometry-optimized CaOsPb structure, as listed in Alexandria via LeMat-Bulk.

- E_form: 0.318 eV per atom
- Symmetry: I4mm

Cell lengths 6.0560, 6.0560, 6.0560 Å; angles 146.42, 146.42, 48.23 degrees
Closest atoms and distances in Å follow each position.
Fractional positions:
Ca  0.0000  0.0000  0.0000  4 Os 3.08, 5 Pb 3.22-3.39
Os  0.3337  0.3337  0.0000  4 Pb 2.83, 4 Ca 3.08
Pb  0.7090  0.7090  0.0000  4 Os 2.83



Record 8
First-principles (GGA-PBE) data for a geometry-optimized PmTl3Sn2Se6 structure, as listed in Alexandria via LeMat-Bulk.

- Formation energy from raw total energies: -0.702 eV/atom
- Symmetry: C2/m

Cell lengths 7.3346, 7.3346, 8.0216 Å; angles 98.75, 98.75, 120.23 degrees
Closest atoms and distances in Å follow each position.
Fractional positions:
Pm  0.0000  0.0000  0.0000  6 Se 2.95-2.97
Tl  0.1630  0.8370  0.5000  6 Se 3.29-3.31
Tl  0.5000  0.5000  0.5000  6 Se 3.28-3.30
Tl  0.8370  0.1630  0.5000  6 Se 3.29-3.31
Sn  0.3329  0.6671  0.0000  6 Se 2.89-2.91
Sn  0.6671  0.3329  0.0000  6 Se 2.89-2.91
Se  0.0714  0.4101  0.2118  2 Sn 2.91, 1 Pm 2.97
Se  0.2723  0.2723  0.7941  2 Sn 2.89, 1 Pm 2.95
Se  0.4101  0.0714  0.2118  2 Sn 2.91, 1 Pm 2.97
Se  0.5899  0.9286  0.7882  2 Sn 2.91, 1 Pm 2.97
Se  0.7277  0.7277  0.2059  2 Sn 2.89, 1 Pm 2.95
Se  0.9286  0.5899  0.7882  2 Sn 2.91, 1 Pm 2.97



Record 9
First-principles (GGA-PBE) data for a geometry-optimized AlCuPt structure, as listed in Alexandria via LeMat-Bulk.

- Distance to the lowest polymorph of the same formula: 0.7 kJ/mol of atoms
- E_form: -0.650 eV per atom
- Symmetry: P-3m1

Cell lengths 4.2993, 4.2993, 5.2695 Å; angles 90.00, 90.00, 120.00 degrees
Closest atoms and distances in Å follow each position.
Fractional positions:
Al  0.3333  0.6667  0.2003  5 Pt 2.53-2.69, 3 Cu 2.70
Al  0.6667  0.3333  0.7997  5 Pt 2.53-2.69, 3 Cu 2.70
Cu  0.0000  0.0000  0.0000  2 Cu 2.63, 6 Al 2.70, 6 Pt 2.91
Cu  0.0000  0.0000  0.5000  2 Cu 2.63, 6 Pt 2.72, 6 Al 2.94
Pt  0.3333  0.6667  0.7103  5 Al 2.53-2.69, 3 Cu 2.72
Pt  0.6667  0.3333  0.2897  5 Al 2.53-2.69, 3 Cu 2.72



Record 10
First-principles (GGA-PBE) data for a geometry-optimized HfP2SBr structure, as listed in Alexandria via LeMat-Bulk.

- Distance to the lowest polymorph of the same formula: 0.0 kJ/mol of atoms
- Formation energy from raw total energies: 0.172 eV/atom
- Symmetry: P4/mmm

Cell lengths 5.1136, 5.1136, 4.8090 Å; angles 90.00, 90.00, 90.00 degrees
Closest atoms and distances in Å follow each position.
Fractional positions:
Hf  0.0000  0.0000  0.0000  2 S 2.40, 4 P 2.56
P  0.0000  0.5000  0.0000  2 Hf 2.56
P  0.5000  0.0000  0.0000  2 Hf 2.56
S  0.0000  0.0000  0.5000  2 Hf 2.40
Br  0.5000  0.5000  0.5000  8 P 3.51, 4 S 3.62



Record 11
First-principles (GGA-PBE) data for a geometry-optimized Sr4AlHg3 structure, as listed in Alexandria via LeMat-Bulk.

- E_form: -0.422 eV per atom
- Symmetry: P4/mmm

Cell lengths 3.9700, 3.9700, 16.1315 Å; angles 90.00, 90.00, 90.00 degrees
Closest atoms and distances in Å follow each position.
Fractional positions:
Sr  0.0000  0.0000  0.1213  4 Al 3.42, 4 Hg 3.45
Sr  0.0000  0.0000  0.3728  8 Hg 3.48
Sr  0.0000  0.0000  0.6272  8 Hg 3.48
Sr  0.0000  0.0000  0.8787  4 Al 3.42, 4 Hg 3.45
Al  0.5000  0.5000  0.0000  8 Sr 3.42
Hg  0.5000  0.5000  0.2455  8 Sr 3.45-3.48
Hg  0.5000  0.5000  0.5000  8 Sr 3.48
Hg  0.5000  0.5000  0.7545  8 Sr 3.45-3.48



Record 12
First-principles (GGA-PBE) data for a geometry-optimized CsPmZrS4 structure, as listed in Alexandria via LeMat-Bulk.

- Formation energy from raw total energies: -1.646 eV/atom
- Symmetry: P2_1/m

Cell lengths 7.0793, 7.1043, 9.7295 Å; angles 90.00, 109.28, 90.00 degrees
Closest atoms and distances in Å follow each position.
Fractional positions:
Cs  0.2240  0.2500  0.4442  2 S 3.38-3.51
Cs  0.7760  0.7500  0.5558  2 S 3.38-3.51
Pm  0.2990  0.2500  0.9527  6 S 2.85-2.90
Pm  0.7010  0.7500  0.0473  6 S 2.85-2.90
Zr  0.2487  0.7500  0.1570  4 S 2.36-2.45
Zr  0.7513  0.2500  0.8430  4 S 2.36-2.45
S  0.0148  0.7500  0.9194  1 Zr 2.36
S  0.0432  0.7500  0.3100  1 Zr 2.40
S  0.4956  0.0011  0.1859  1 Zr 2.45
S  0.4956  0.4989  0.1859  1 Zr 2.45
S  0.5044  0.5011  0.8141  1 Zr 2.45
S  0.5044  0.9989  0.8141  1 Zr 2.45
S  0.9568  0.2500  0.6900  1 Zr 2.40
S  0.9852  0.2500  0.0806  1 Zr 2.36